# Th7Rh3 PBEsol relaxed
data_Th7Rh3
_cell_length_a 9.8814
_cell_length_b 9.8814
_cell_length_c 6.1918
_cell_angle_alpha 90.00
_cell_angle_beta 90.00
_cell_angle_gamma 120.00
_symmetry_space_group_name_H-M 'P 63 m c'
_symmetry_Int_Tables_number 186
_symmetry_space_group_name_Hall 'P 6c -2c'
loop_
_atom_site_label
_atom_site_type_symbol
_atom_site_fract_x
_atom_site_fract_y
_atom_site_fract_z
Th1 Th 0.0849 0.5424 0.0000
Th2 Th 0.1275 0.2551 0.2884
Th3 Th 0.3333 0.6667 0.4673
Rh1 Rh 0.1862 0.3724 0.7377
# - ΔE_f: -0.548 eV per atom

=====

# TiRh PBEsol relaxed
data_TiRh
_cell_length_a 3.135
_cell_length_b 3.135
_cell_length_c 2.935
_cell_angle_alpha 90.00
_cell_angle_beta 90.00
_cell_angle_gamma 90.00
_symmetry_space_group_name_H-M 'P 4/m m m'
_symmetry_Int_Tables_number 123
_symmetry_space_group_name_Hall '-P 4 2'
loop_
_atom_site_label
_atom_site_type_symbol
_atom_site_fract_x
_atom_site_fract_y
_atom_site_fract_z
Ti1 Ti 0.000 0.000 0.000
Rh1 Rh 0.500 0.500 0.500
# - ΔE_f: -0.717 eV per atom

=====

| no. | calculated volume (Å³/atom) |
| --- | --- |
| 1 | 26.18 |
| 2 | 14.43 |